The following is a PBE-GGA calculation of a relaxed ZnCo2Cl crystal, from Alexandria via LeMat-Bulk.

The space group is P4/mmm (No. 123) and the conventional cell measures 3.131, 3.131 and 5.922 Å, with angles of 90.00, 90.00 and 90.00 degrees. The inequivalent atoms are Zn at (0.000, 0.000, 0.000), Co at (0.500, 0.500, 0.195) and Cl at (0.000, 0.000, 0.500).

For the relative energy among the computed polymorphs, the calculation gives 0.266 eV/atom. As for the energy relative to the elements, uncorrected: 7.937 kcal/mol of atoms.

=====

The following is a PBE-GGA calculation of a relaxed MnBiPd2Pb crystal, from Alexandria via LeMat-Bulk.

The space group is P4/mmm (No. 123) and the conventional cell measures 5.072, 5.072 and 5.051 Å, with angles of 90.00, 90.00 and 90.00 degrees. The inequivalent atoms are Mn at (0.000, 0.000, 0.000), Bi at (0.500, 0.500, 0.000), Pd at (0.000, 0.500, 0.500) and Pb at (0.000, 0.000, 0.500).

Its energy of formation from the pure elements is 0.6808 eV/atom.

=====

The following is a PBE-GGA calculation of a relaxed AlPt2Pb crystal, from Alexandria via LeMat-Bulk.

The space group is R-3m (No. 166, hexagonal axes) and the conventional cell measures 3.0943, 3.0943 and 26.6971 Å, with angles of 90.00, 90.00 and 120.00 degrees. The inequivalent atoms are Al at (0.0000, 0.0000, 0.0000), Pt at (0.0000, 0.0000, 0.2644) and Pb at (0.0000, 0.0000, 0.5000).

Its energy of formation from the pure elements is -0.3650 eV/atom.

=====

The following is a PBE-GGA calculation of a relaxed MgV2TcAs crystal, from Alexandria via LeMat-Bulk.

The space group is P4/mmm (No. 123) and the conventional cell measures 4.483, 4.483 and 4.594 Å, with angles of 90.00, 90.00 and 90.00 degrees. The inequivalent atoms are Mg at (0.000, 0.000, 0.000), V at (0.000, 0.500, 0.500), Tc at (0.500, 0.500, 0.000) and As at (0.000, 0.000, 0.500).

Its energy of formation from the pure elements is 1.0190 eV/atom.

=====

The following is a PBE-GGA calculation of a relaxed Mg4MnTe crystal, from Alexandria via LeMat-Bulk.

The space group is F-43m (No. 216) and the conventional cell measures 8.224, 8.224 and 8.224 Å, with angles of 90.00, 90.00 and 90.00 degrees. The inequivalent atoms are Mg at (0.125, 0.125, 0.125), Mn at (0.250, 0.250, 0.750) and Te at (0.000, 0.000, 0.500).

As for the energy relative to the elements, uncorrected: 6.126 kcal/mol of atoms.

=====

The following is a PBE-GGA calculation of a relaxed Ce8Si2Ge crystal, from Alexandria via LeMat-Bulk.

The space group is C2/m (No. 12) and the conventional cell measures 18.243, 4.223 and 7.454 Å, with angles of 90.00, 111.30 and 90.00 degrees. The inequivalent atoms are Ce at (0.024, 0.000, 0.242), Ce at (0.080, 0.500, 0.937), Ce at (0.170, 0.500, 0.472), Ce at (0.188, 0.000, 0.758), Si at (0.185, 0.000, 0.181) and Ge at (0.000, 0.500, 0.500).

As for the energy relative to the elements, uncorrected: -8.277 kcal/mol of atoms.

=====

| no. | size of the total moment (μB per formula unit) |
| --- | --- |
| 1 | 3.1 |
| 2 | 3.6 |
| 3 | 0.0 |
| 4 | 0.0 |
| 5 | 4.3 |
| 6 | 2.8 |